The following is a DFT calculation (PBE) of an optimized crystal structure of LiCe3Nd4S8.

Lattice parameters (Å, degrees): 8.0630 8.0597 8.0637 120.01 120.00 90.00
Last column: nearest neighbours and their distance in Å.
Fractional coordinates of all 16 atoms:
Li  0.0000  0.5000  0.0000  6 S 2.78
Ce  0.5000  0.5000  0.0000  6 S 2.84
Ce  0.5000  0.5000  0.5000  6 S 2.84
Ce  0.0000  0.5000  0.5000  6 S 2.84
Nd  0.5000  0.0000  0.0000  6 S 2.92
Nd  0.5000  0.0000  0.5000  6 S 2.86-2.87
Nd  0.0000  0.0000  0.0000  6 S 2.86-2.87
Nd  0.0000  0.0000  0.5000  6 S 2.86-2.87
S  0.2438  0.7412  0.9974  1 Li 2.78, 2 Ce 2.84, 3 Nd 2.87-2.92
S  0.2438  0.7412  0.4876  1 Li 2.78, 2 Ce 2.84, 3 Nd 2.87-2.92
S  0.2512  0.2535  0.5023  3 Ce 2.84, 3 Nd 2.86
S  0.7536  0.7412  0.9974  1 Li 2.78, 2 Ce 2.84, 3 Nd 2.87-2.92
S  0.2464  0.2588  0.0026  1 Li 2.78, 2 Ce 2.84, 3 Nd 2.87-2.92
S  0.7488  0.7465  0.4977  3 Ce 2.84, 3 Nd 2.86
S  0.7562  0.2588  0.5124  1 Li 2.78, 2 Ce 2.84, 3 Nd 2.87-2.92
S  0.7562  0.2588  0.0026  1 Li 2.78, 2 Ce 2.84, 3 Nd 2.87-2.92

Values from the calculation:
The total magnetization is 2.11 μB per cell. The calculation puts the formation energy (no corrections) at -45.46 kcal/mol of atoms.